A relaxed K3NaPd2F9 crystal. Source: the Alexandria database, functional PBE-GGA.

Calculated values
Fermi-level density of states (states/eV per cell): 6.7
Crystal system: trigonal
E_form (uncorrected) (meV per atom): -2108
Symmetry: No. 164

Lattice parameters (Å, degrees): 6.070 6.070 7.417 90.00 90.00 120.00
Atoms (fractional coordinates):
K 0.000 0.000 0.000
K 0.333 0.667 0.646
K 0.667 0.333 0.354
Na 0.000 0.000 0.500
Pd 0.333 0.667 0.160
Pd 0.667 0.333 0.840
F 0.000 0.500 0.000
F 0.171 0.342 0.321
F 0.171 0.829 0.321
F 0.342 0.171 0.679
F 0.500 0.000 0.000
F 0.500 0.500 0.000
F 0.658 0.829 0.321
F 0.829 0.171 0.679
F 0.829 0.658 0.679

A relaxed TbYCdPd crystal. Source: the Alexandria database, functional PBE-GGA.

Calculated values
Fermi-level density of states (states/eV per cell): 2.6
ΔH_f (0 K) (eV per atom): -0.550
Crystal system: cubic
Symmetry: No. 216

Lattice parameters (Å, degrees): 5.140 5.140 5.140 60.00 60.00 60.00
Atoms (fractional coordinates):
Tb 0.000 0.000 0.000
Y 0.500 0.500 0.500
Cd 0.750 0.750 0.750
Pd 0.250 0.250 0.250

A relaxed Pr2GdU crystal. Source: the Alexandria database, functional PBE-GGA.

Calculated values
Fermi-level density of states (states/eV per cell): 14.8
ΔH_f (0 K) (eV per atom): 0.555
Crystal system: trigonal
Symmetry: No. 166

Lattice parameters (Å, degrees): 5.632 5.632 5.632 61.56 61.56 61.56
Atoms (fractional coordinates):
Pr 0.237 0.237 0.237
Pr 0.763 0.763 0.763
Gd 0.500 0.500 0.500
U 0.000 0.000 0.000

A relaxed ScAlSCl2 crystal. Source: the Alexandria database, functional PBE-GGA.

Calculated values
Energy relative to the lowest polymorph listed for this composition (meV per atom): 0
Crystal system: tetragonal
E_form (uncorrected) (meV per atom): -1142
Symmetry: No. 123

Lattice parameters (Å, degrees): 5.044 5.044 4.966 90.00 90.00 90.00
Atoms (fractional coordinates):
Sc 0.000 0.000 0.000
Al 0.500 0.500 0.500
S 0.000 0.000 0.500
Cl 0.000 0.500 0.000
Cl 0.500 0.000 0.000

A relaxed CeHf2VN4 crystal. Source: the Alexandria database, functional PBE-GGA.

Calculated values
Fermi-level density of states (states/eV per cell): 11.9
Crystal system: orthorhombic
E_form (uncorrected) (meV per atom): -1466
Symmetry: No. 63

Lattice parameters (Å, degrees): 5.832 5.832 11.109 90.00 90.00 147.66
Atoms (fractional coordinates):
Ce 0.098 0.902 0.750
Ce 0.902 0.098 0.250
Hf 0.369 0.631 0.544
Hf 0.369 0.631 0.956
Hf 0.631 0.369 0.044
Hf 0.631 0.369 0.456
V 0.164 0.836 0.250
V 0.836 0.164 0.750
N 0.000 0.000 0.000
N 0.000 0.000 0.500
N 0.264 0.736 0.113
N 0.264 0.736 0.387
N 0.436 0.564 0.750
N 0.564 0.436 0.250
N 0.736 0.264 0.613
N 0.736 0.264 0.887

A relaxed K3Cd2NiCl9 crystal. Source: the Alexandria database, functional PBE-GGA.

Calculated values
Crystal system: trigonal
E_form (uncorrected) (meV per atom): -1291
Symmetry: No. 164

Lattice parameters (Å, degrees): 7.227 7.227 8.858 90.00 90.00 120.00
Atoms (fractional coordinates):
K 0.000 0.000 0.000
K 0.333 0.667 0.664
K 0.667 0.333 0.336
Cd 0.333 0.667 0.179
Cd 0.667 0.333 0.821
Ni 0.000 0.000 0.500
Cl 0.000 0.500 0.000
Cl 0.158 0.316 0.343
Cl 0.158 0.842 0.343
Cl 0.316 0.158 0.657
Cl 0.500 0.000 0.000
Cl 0.500 0.500 0.000
Cl 0.684 0.842 0.343
Cl 0.842 0.158 0.657
Cl 0.842 0.684 0.657

A relaxed Be2SbPd8 crystal. Source: the Alexandria database, functional PBE-GGA.

Calculated values
Fermi-level density of states (states/eV per cell): 4.5
Crystal system: monoclinic
E_form (uncorrected) (meV per atom): -377
Symmetry: No. 12

Lattice parameters (Å, degrees): 7.512 7.512 6.048 108.35 108.35 30.27
Atoms (fractional coordinates):
Be 0.193 0.193 0.192
Be 0.807 0.807 0.808
Sb 0.500 0.500 0.500
Pd 0.038 0.038 0.246
Pd 0.199 0.199 0.812
Pd 0.322 0.322 0.540
Pd 0.401 0.401 0.021
Pd 0.599 0.599 0.979
Pd 0.678 0.678 0.460
Pd 0.801 0.801 0.188
Pd 0.962 0.962 0.754

A relaxed SrLi crystal. Source: the Alexandria database, functional PBE-GGA.

Calculated values
Fermi-level density of states (states/eV per cell): 2.7
ΔH_f (0 K) (eV per atom): 0.075
Energy relative to the lowest polymorph listed for this composition (meV per atom): 48
Crystal system: trigonal
Symmetry: No. 166

Lattice parameters (Å, degrees): 8.920 8.920 8.920 30.28 30.28 30.28
Atoms (fractional coordinates):
Sr 0.097 0.097 0.097
Sr 0.903 0.903 0.903
Li 0.334 0.334 0.334
Li 0.666 0.666 0.666